# HfZn2Cu2 | the Alexandria database | PBE | relaxed
data_HfZn2Cu2
_chemical_formula_sum 'Hf2 Zn4 Cu4'
_space_group_name_H-M_alt 'P 1'
_space_group_IT_number 1
_cell_length_a 7.3419
_cell_length_b 7.3419
_cell_length_c 2.7448
_cell_angle_alpha 90.00
_cell_angle_beta 90.00
_cell_angle_gamma 90.00
loop_
_space_group_symop_operation_xyz
'x,y,z'
loop_
_atom_site_label
_atom_site_fract_x
_atom_site_fract_y
_atom_site_fract_z
Hf1 0.0000 0.0000 0.0000
Hf2 0.5000 0.5000 0.0000
Zn1 0.1713 0.3287 0.5000
Zn2 0.3287 0.8287 0.5000
Zn3 0.6713 0.1713 0.5000
Zn4 0.8287 0.6713 0.5000
Cu1 0.1240 0.6240 0.0000
Cu2 0.3760 0.1240 0.0000
Cu3 0.6240 0.8760 0.0000
Cu4 0.8760 0.3760 0.0000
# Crystal system: tetragonal
# Energy of formation from the pure elements, eV per atom: -0.0661
# E above lowest polymorph, meV/atom: 58